Entry 1:
## LiSn2Pd2 (PBE-GGA)

Data for LiSn2Pd2 after structural relaxation.

a b c (Å): 4.5249 4.5313 5.4384
angles (deg): 90.02 90.00 119.90
Last column: nearest neighbours and their distance in Å.
Space group P-1 (No. 2)
Unique sites:
Li1 0.0000 0.0000 0.0000 (multiplicity 1)  6 Pd 2.76-2.77
Sn1 0.3332 0.6675 0.3331 (multiplicity 2)  5 Pd 2.70-2.77
Pd1 0.3338 0.6666 0.8361 (multiplicity 2)  5 Sn 2.70-2.77, 3 Li 2.76-2.77

***

Entry 2:
## PrGa2CuPt (PBE-GGA)

Data for PrGa2CuPt after structural relaxation.

Summary:
Polymorph energy (0 for the lowest one): 0 meV per atom

a b c (Å): 4.3426 4.3426 10.1027
angles (deg): 90.00 90.00 90.00
Last column: nearest neighbours and their distance in Å.
Space group P4/nmm (No. 129, origin choice 2)
Unique sites:
Pr1 0.2500 0.2500 0.2463 (multiplicity 2)  4 Pt 3.30, 4 Cu 3.30, 9 Ga 3.33-3.68
Ga1 0.2500 0.2500 0.8817 (multiplicity 2)  4 Cu 2.48, 1 Pt 2.50
Ga2 0.2500 0.7500 0.5000 (multiplicity 2)  4 Pt 2.56
Cu1 0.2500 0.7500 0.0000 (multiplicity 2)  4 Ga 2.48
Pt1 0.2500 0.2500 0.6346 (multiplicity 2)  5 Ga 2.50-2.56

***

Entry 3:
## SrSiAg2Sn (PBE-GGA)

Data for SrSiAg2Sn after structural relaxation.

a b c (Å): 4.5521 4.5521 11.1165
angles (deg): 90.00 90.00 90.00
Last column: nearest neighbours and their distance in Å.
Space group I4mm (No. 107)
Unique sites:
Sr1 0.0000 0.0000 0.0000 (multiplicity 2)  8 Ag 3.46-3.73, 4 Sn 3.46, 4 Si 3.48
Si1 0.0000 0.0000 0.3799 (multiplicity 2)  4 Ag 2.61, 1 Sn 2.61
Ag1 0.0000 0.5000 0.2658 (multiplicity 4)  2 Si 2.61, 2 Sn 2.83
Sn1 0.0000 0.0000 0.6149 (multiplicity 2)  1 Si 2.61, 4 Ag 2.83

***

Entry 4:
## PmZrIn (PBE-GGA)

Data for PmZrIn after structural relaxation.

Summary:
Polymorph energy (0 for the lowest one): 0 meV per atom

a b c (Å): 7.2071 7.2071 7.2071
angles (deg): 90.00 90.00 90.00
Last column: nearest neighbours and their distance in Å.
Space group F-43m (No. 216)
Unique sites:
Pm1 0.0000 0.0000 0.0000 (multiplicity 4)  4 In 3.12
Zr1 0.0000 0.0000 0.5000 (multiplicity 4)  4 In 3.12
In1 0.2500 0.2500 0.2500 (multiplicity 4)  4 Zr 3.12, 4 Pm 3.12

***

Entry 5:
## LuBeNO (PBE-GGA)

Data for LuBeNO after structural relaxation.

Summary:
Polymorph energy (0 for the lowest one): 215 meV per atom

a b c (Å): 3.4268 3.4268 7.0676
angles (deg): 90.00 90.00 90.00
Last column: nearest neighbours and their distance in Å.
Space group P4/nmm (No. 129, origin choice 2)
Unique sites:
Lu1 0.2500 0.2500 0.1697 (multiplicity 2)  4 O 2.09
Be1 0.2500 0.7500 0.5000 (multiplicity 2)  4 N 1.85
N1 0.2500 0.2500 0.5996 (multiplicity 2)  4 Be 1.85
O1 0.2500 0.7500 0.0000 (multiplicity 2)  4 Lu 2.09

***

Entry 6:
## SrLiCd4 (PBE-GGA)

Data for SrLiCd4 after structural relaxation.

a b c (Å): 3.6414 3.6414 10.5213
angles (deg): 90.00 90.00 90.00
Last column: nearest neighbours and their distance in Å.
Space group P4/mmm (No. 123)
Unique sites:
Sr1 0.0000 0.0000 0.0000 (multiplicity 1)  8 Cd 3.39, 4 Sr 3.64
Li1 0.5000 0.5000 0.5000 (multiplicity 1)  10 Cd 2.96-3.05
Cd1 0.0000 0.0000 0.3613 (multiplicity 2)  5 Cd 2.92-3.03, 4 Li 2.96
Cd2 0.5000 0.5000 0.2099 (multiplicity 2)  4 Cd 3.03, 1 Li 3.05

***

Number 1: DFT total energy -23.14 eV per cell. Number 2: DFT total energy -48.36 eV per cell. Number 3: DFT total energy -36.62 eV per cell. Number 4: DFT total energy -62.03 eV per cell. Number 5: DFT total energy -58.23 eV per cell. Number 6: DFT total energy -8.41 eV per cell.